The following is a DFT calculation (PBE+U) of a relaxed structure of Ac2CoNiO6.

Cell: 5.6078 5.5502 9.6488 Å, 90.00 125.46 90.00°
Last column: nearest neighbours and their distance in Å.
Space group P2_1/c (No. 14)
One atom of each set of equivalent atoms:
Ac 0.2488 0.0019 0.2499 (multiplicity 4)  8 O 2.58-2.87
Co 0.0000 0.0000 0.5000 (multiplicity 2)  6 O 1.92
Ni 0.5000 0.0000 0.0000 (multiplicity 2)  6 O 2.04
O 0.2156 0.2478 0.4787 (multiplicity 4)  1 Co 1.92, 1 Ni 2.04
O 0.2233 0.7391 0.9779 (multiplicity 4)  1 Co 1.92, 1 Ni 2.04
O 0.2840 0.0016 0.7423 (multiplicity 4)  1 Co 1.92, 1 Ni 2.04

Calculated values
* size of the total moment: 5.946 μB per cell
* density of states at the Fermi level: 0.1 states/eV per cell
* energy: -6.769 eV/atom